No. 1
VASP calculation (PBE) on crystalline YTl2Ru at its relaxed geometry.

Properties
Its calculated formation energy is 44 meV/atom. As for the density of states at the Fermi level: 3.32 states/eV per cell. Its crystal system is orthorhombic. Its theoretical density is 10.911 Mg/m³.

Cell: 5.7630 5.7630 5.7630 Å, 141.92 128.49 65.83°
Closest atoms and distances in Å follow each position.
Element x y z (fractional)
Ru 0.2500 0.7500 0.5000  4 Tl 2.87, 4 Y 3.13
Tl 0.0254 0.0254 0.0000  2 Ru 2.87, 4 Tl 3.17
Tl 0.4746 0.4746 0.0000  2 Ru 2.87, 4 Tl 3.17
Y 0.7500 0.2500 0.5000  4 Ru 3.13, 8 Tl 3.26-3.32

No. 2
VASP calculation (PBE) on crystalline Zr3TiHg at its relaxed geometry.

Properties
Its calculated formation energy is 704 meV/atom. As for the density of states at the Fermi level: 7.87 states/eV per cell. Its crystal system is cubic. Its theoretical density is 7.172 Mg/m³.

Cell: 4.9445 4.9445 4.9445 Å, 90.00 90.00 90.00°
Closest atoms and distances in Å follow each position.
Element x y z (fractional)
Hg 0.5000 0.5000 0.5000  12 Zr 3.50
Zr 0.0000 0.5000 0.0000  2 Ti 2.47
Zr 0.0000 0.0000 0.5000  2 Ti 2.47
Zr 0.5000 0.0000 0.0000  2 Ti 2.47
Ti 0.0000 0.0000 0.0000  6 Zr 2.47

No. 3
VASP calculation (PBE) on crystalline Tb2Pr3Er4 at its relaxed geometry.

Properties
Its calculated formation energy is 101 meV/atom. As for the density of states at the Fermi level: 27.80 states/eV per cell. Its crystal system is monoclinic. Its theoretical density is 7.976 Mg/m³.

Cell: 6.0614 11.2585 11.2585 Å, 62.76 64.10 64.10°
Closest atoms and distances in Å follow each position.
Element x y z (fractional)
Tb 0.4243 0.2524 0.5126  4 Er 3.41-3.50, 5 Pr 3.42-3.69
Tb 0.0757 0.4874 0.7476  4 Er 3.41-3.50, 5 Pr 3.42-3.69
Tb 0.5757 0.7476 0.4874  4 Er 3.41-3.50, 5 Pr 3.42-3.69
Tb 0.9243 0.5126 0.2524  4 Er 3.41-3.50, 5 Pr 3.42-3.69
Pr 0.7532 0.0575 0.2744  8 Er 3.39-3.69, 2 Tb 3.53-3.59
Pr 0.7468 0.7256 0.9425  8 Er 3.39-3.69, 2 Tb 3.53-3.59
Pr 0.2468 0.9425 0.7256  8 Er 3.39-3.69, 2 Tb 3.53-3.59
Pr 0.2532 0.2744 0.0575  8 Er 3.39-3.69, 2 Tb 3.53-3.59
Pr 0.2500 0.6098 0.3902  6 Tb 3.42-3.69, 4 Er 3.51-3.62
Pr 0.7500 0.3902 0.6098  6 Tb 3.42-3.69, 4 Er 3.51-3.62
Er 0.4218 0.9202 0.1809  5 Pr 3.39-3.69, 1 Tb 3.41, 3 Er 3.42-3.50
Er 0.0782 0.8191 0.0798  5 Pr 3.39-3.69, 1 Tb 3.41, 3 Er 3.42-3.50
Er 0.5782 0.0798 0.8191  5 Pr 3.39-3.69, 1 Tb 3.41, 3 Er 3.42-3.50
Er 0.9218 0.1809 0.9202  5 Pr 3.39-3.69, 1 Tb 3.41, 3 Er 3.42-3.50
Er 0.0835 0.1491 0.4136  1 Er 3.37, 5 Pr 3.41-3.68, 3 Tb 3.43-3.50
Er 0.4165 0.5864 0.8509  1 Er 3.37, 5 Pr 3.41-3.68, 3 Tb 3.43-3.50
Er 0.9165 0.8509 0.5864  1 Er 3.37, 5 Pr 3.41-3.68, 3 Tb 3.43-3.50
Er 0.5835 0.4136 0.1491  1 Er 3.37, 5 Pr 3.41-3.68, 3 Tb 3.43-3.50

No. 4
VASP calculation (PBE) on crystalline Na3ThSb2Te6 at its relaxed geometry.

Properties
As for the formation energy without anion corrections: -0.656 eV per atom. As for the density of states at the Fermi level: 6.53 states/eV per cell. Its crystal system is monoclinic. Its theoretical density is 5.423 Mg/m³.

Cell: 7.9388 7.9388 7.8554 Å, 99.58 99.58 120.65°
Closest atoms and distances in Å follow each position.
Element x y z (fractional)
Na 0.1717 0.8283 0.5000  6 Te 3.26-3.34
Na 0.8283 0.1717 0.5000  6 Te 3.26-3.34
Na 0.5000 0.5000 0.5000  6 Te 3.28-3.31
Th 0.0000 0.0000 0.0000  6 Te 3.15
Sb 0.3357 0.6643 0.0000  6 Te 3.12-3.17
Sb 0.6643 0.3357 0.0000  6 Te 3.12-3.17
Te 0.9215 0.5881 0.7701  2 Sb 3.12-3.17, 1 Th 3.15, 3 Na 3.26-3.31
Te 0.7443 0.7443 0.2345  2 Sb 3.14, 1 Th 3.15, 3 Na 3.28-3.34
Te 0.0785 0.4119 0.2299  2 Sb 3.12-3.17, 1 Th 3.15, 3 Na 3.26-3.31
Te 0.5881 0.9215 0.7701  2 Sb 3.12-3.17, 1 Th 3.15, 3 Na 3.26-3.31
Te 0.2557 0.2557 0.7655  2 Sb 3.14, 1 Th 3.15, 3 Na 3.28-3.34
Te 0.4119 0.0785 0.2299  2 Sb 3.12-3.17, 1 Th 3.15, 3 Na 3.26-3.31

No. 5
VASP calculation (PBE) on crystalline PmIn3Cu8 at its relaxed geometry.

Properties
Its calculated formation energy is -125 meV/atom. As for the density of states at the Fermi level: 1.63 states/eV per cell. Its crystal system is trigonal. Its theoretical density is 8.669 Mg/m³.

Cell: 5.0984 5.0984 8.9866 Å, 73.52 73.52 60.00°
Closest atoms and distances in Å follow each position.
Element x y z (fractional)
Pm 0.8753 0.8753 0.3741  12 Cu 3.00-3.08, 4 In 3.17-3.20
In 0.3751 0.3751 0.8747  12 Cu 2.98-2.99, 4 In 3.09-3.12
In 0.0009 0.0009 0.9973  12 Cu 2.97-2.99, 3 In 3.12, 1 Pm 3.20
In 0.4963 0.4963 0.5112  12 Cu 2.98-3.18, 1 In 3.09, 3 Pm 3.17
Cu 0.9418 0.4392 0.1798  6 Cu 2.54-2.65
Cu 0.4331 0.9372 0.6925  6 Cu 2.53-2.59
Cu 0.4392 0.4392 0.1798  6 Cu 2.54-2.65
Cu 0.9372 0.9372 0.6925  6 Cu 2.53-2.59
Cu 0.1867 0.1867 0.4398  6 Cu 2.59-2.65
Cu 0.6880 0.6880 0.9361  6 Cu 2.54-2.55
Cu 0.4392 0.9418 0.1798  6 Cu 2.54-2.65
Cu 0.9372 0.4331 0.6925  6 Cu 2.53-2.59

No. 6
VASP calculation (PBE) on crystalline Mg4Ge2Pt at its relaxed geometry.

Properties
Its calculated formation energy is -25 meV/atom. As for the density of states at the Fermi level: 4.64 states/eV per cell. Its crystal system is tetragonal. Its theoretical density is 4.311 Mg/m³.

Cell: 4.9072 4.9072 7.8122 Å, 71.70 71.70 90.00°
Closest atoms and distances in Å follow each position.
Element x y z (fractional)
Ge 0.6224 0.6224 0.7552  5 Mg 2.71-2.99
Ge 0.3776 0.3776 0.2448  5 Mg 2.71-2.99
Mg 0.8158 0.8158 0.3684  1 Pt 2.58, 1 Ge 2.71
Mg 0.1842 0.1842 0.6316  1 Pt 2.58, 1 Ge 2.71
Mg 0.0000 0.5000 0.0000  2 Pt 2.45
Mg 0.5000 0.0000 0.0000  2 Pt 2.45
Pt 0.0000 0.0000 0.0000  6 Mg 2.45-2.58

No. 7
VASP calculation (PBE) on crystalline TaCrW at its relaxed geometry.

Properties
Its calculated formation energy is 639 meV/atom. As for the density of states at the Fermi level: 1.48 states/eV per cell. Its crystal system is cubic. Its theoretical density is 13.212 Mg/m³.

Cell: 4.1999 4.1999 4.1999 Å, 60.00 60.00 60.00°
Closest atoms and distances in Å follow each position.
Element x y z (fractional)
Cr 0.7500 0.7500 0.7500  4 Ta 2.57, 4 W 2.57
Ta 0.0000 0.0000 0.0000  4 Cr 2.57
W 0.5000 0.5000 0.5000  4 Cr 2.57

No. 8
VASP calculation (PBE) on crystalline Ho2Hg3Pd4 at its relaxed geometry.

Properties
Its calculated formation energy is -593 meV/atom. As for the density of states at the Fermi level: 3.23 states/eV per cell. Its crystal system is monoclinic. Its theoretical density is 12.690 Mg/m³.

Cell: 4.9652 4.7240 8.9585 Å, 95.55 90.00 121.70°
Closest atoms and distances in Å follow each position.
Element x y z (fractional)
Ho 0.3399 0.6798 0.2188  7 Pd 2.87-2.97, 2 Hg 3.13-3.18
Ho 0.6601 0.3202 0.7812  7 Pd 2.87-2.97, 2 Hg 3.13-3.18
Hg 0.3165 0.6330 0.5778  5 Pd 2.86-3.09, 2 Hg 2.99, 1 Ho 3.13
Hg 0.0000 0.0000 0.0000  8 Pd 2.91-2.97, 2 Ho 3.18
Hg 0.6835 0.3670 0.4222  5 Pd 2.86-3.09, 2 Hg 2.99, 1 Ho 3.13
Pd 0.6689 0.3378 0.1019  4 Hg 2.86-2.93, 4 Ho 2.87-2.97, 1 Pd 3.10
Pd 0.9868 0.9736 0.6675  5 Hg 2.86-3.09, 3 Ho 2.92-2.97, 1 Pd 3.03
Pd 0.0132 0.0264 0.3325  5 Hg 2.86-3.09, 3 Ho 2.92-2.97, 1 Pd 3.03
Pd 0.3311 0.6622 0.8981  4 Hg 2.86-2.93, 4 Ho 2.87-2.97, 1 Pd 3.10

No. 9
VASP calculation (PBE) on crystalline LaPrPbN at its relaxed geometry.

Properties
As for the formation energy without anion corrections: -0.921 eV per atom. As for the density of states at the Fermi level: 6.32 states/eV per cell. Its crystal system is tetragonal. Its theoretical density is 7.568 Mg/m³.

Cell: 4.8288 4.8288 9.4290 Å, 90.00 90.00 90.00°
Closest atoms and distances in Å follow each position.
Element x y z (fractional)
La 0.0000 0.0000 0.5000  4 N 2.54
La 0.5000 0.5000 0.5000  4 N 2.54
Pr 0.5000 0.0000 0.8275  1 N 2.31
Pr 0.0000 0.5000 0.1725  1 N 2.31
Pb 0.0000 0.5000 0.8070  5 Pr 3.42-3.45, 1 N 3.67, 4 La 3.77
Pb 0.5000 0.0000 0.1930  5 Pr 3.42-3.45, 1 N 3.67, 4 La 3.77
N 0.0000 0.5000 0.4174  1 Pr 2.31, 4 La 2.54
N 0.5000 0.0000 0.5826  1 Pr 2.31, 4 La 2.54

No. 10
VASP calculation (PBE) on crystalline Ba2AsOs at its relaxed geometry.

Properties
Its calculated formation energy is -197 meV/atom. As for the density of states at the Fermi level: 5.64 states/eV per cell. Its crystal system is trigonal. Its theoretical density is 6.138 Mg/m³.

Cell: 9.2669 9.2669 9.2669 Å, 27.13 27.13 27.13°
Closest atoms and distances in Å follow each position.
Element x y z (fractional)
As 0.7917 0.7917 0.7917  3 Os 2.51
Os 0.4583 0.4583 0.4583  3 As 2.51
Ba 0.0422 0.0422 0.0422  3 Os 3.35, 3 As 3.35
Ba 0.2078 0.2078 0.2078  3 As 3.35, 3 Os 3.35

No. 11
VASP calculation (PBE) on crystalline TlPC3 at its relaxed geometry.

Properties
Its calculated formation energy is 3792 meV/atom. As for the density of states at the Fermi level: 4.27 states/eV per cell. Its crystal system is cubic. Its theoretical density is 5.264 Mg/m³.

Cell: 4.4073 4.4073 4.4073 Å, 90.00 90.00 90.00°
Closest atoms and distances in Å follow each position.
Element x y z (fractional)
P 0.5000 0.5000 0.5000  12 C 3.12
Tl 0.0000 0.0000 0.0000  6 C 2.20
C 0.0000 0.5000 0.0000  2 Tl 2.20
C 0.0000 0.0000 0.5000  2 Tl 2.20
C 0.5000 0.0000 0.0000  2 Tl 2.20

No. 12
VASP calculation (PBE) on crystalline TlTe2Pb at its relaxed geometry.

Properties
As for the formation energy without anion corrections: -0.266 eV per atom. As for the density of states at the Fermi level: 3.01 states/eV per cell. Its crystal system is tetragonal. Its theoretical density is 8.028 Mg/m³.

Cell: 4.6061 4.6112 6.4937 Å, 90.00 90.00 90.00°
Closest atoms and distances in Å follow each position.
Element x y z (fractional)
Pb 0.5000 0.5000 0.8748  6 Te 3.25-3.26
Tl 0.0000 0.0000 0.3754  6 Te 3.25-3.26
Te 0.0000 0.0000 0.8752  2 Tl 3.25, 4 Pb 3.26
Te 0.5000 0.5000 0.3746  2 Pb 3.25, 4 Tl 3.26

No. 13
VASP calculation (PBE) on crystalline NpPa2Ir at its relaxed geometry.

Properties
Its calculated formation energy is -273 meV/atom. As for the density of states at the Fermi level: 7.53 states/eV per cell. Its crystal system is tetragonal. Its theoretical density is 17.778 Mg/m³.

Cell: 3.1738 5.1215 5.1215 Å, 90.00 90.00 90.00°
Closest atoms and distances in Å follow each position.
Element x y z (fractional)
Np 0.5000 0.5000 0.5000  8 Pa 3.01, 2 Np 3.17
Pa 0.0000 0.0000 0.5000  4 Ir 3.01, 4 Np 3.01, 2 Pa 3.17
Pa 0.0000 0.5000 0.0000  4 Ir 3.01, 4 Np 3.01, 2 Pa 3.17
Ir 0.5000 0.0000 0.0000  8 Pa 3.01, 2 Ir 3.17

No. 14
VASP calculation (PBE) on crystalline CdInBiPb3 at its relaxed geometry.

Properties
Its calculated formation energy is 41 meV/atom. As for the density of states at the Fermi level: 6.58 states/eV per cell. Its crystal system is monoclinic. Its theoretical density is 9.740 Mg/m³.

Cell: 3.4898 9.0440 13.4475 Å, 121.81 90.00 90.00°
Closest atoms and distances in Å follow each position.
Element x y z (fractional)
Cd 0.2500 0.6436 0.1072  4 Cd 3.19-3.49, 5 Pb 3.27-3.44, 2 In 3.27
Cd 0.7500 0.3564 0.8928  4 Cd 3.19-3.49, 5 Pb 3.27-3.44, 2 In 3.27
In 0.2500 0.0882 0.6608  2 Cd 3.27, 4 Pb 3.39-3.54, 2 In 3.49, 2 Bi 3.49
In 0.7500 0.9118 0.3392  2 Cd 3.27, 4 Pb 3.39-3.54, 2 In 3.49, 2 Bi 3.49
Bi 0.2500 0.2469 0.3398  7 Pb 3.37-3.71, 2 Bi 3.49, 2 In 3.49
Bi 0.7500 0.7531 0.6602  7 Pb 3.37-3.71, 2 Bi 3.49, 2 In 3.49
Pb 0.7500 0.9453 0.0888  2 Cd 3.36, 2 Bi 3.49, 7 Pb 3.49-3.57, 1 In 3.54
Pb 0.2500 0.0547 0.9112  2 Cd 3.36, 2 Bi 3.49, 7 Pb 3.49-3.57, 1 In 3.54
Pb 0.2500 0.6669 0.4164  3 Bi 3.37-3.42, 3 In 3.39-3.48, 4 Pb 3.49-3.50
Pb 0.7500 0.3331 0.5836  3 Bi 3.37-3.42, 3 In 3.39-3.48, 4 Pb 3.49-3.50
Pb 0.7500 0.3850 0.1582  3 Cd 3.27-3.44, 7 Pb 3.49-3.57
Pb 0.2500 0.6150 0.8418  3 Cd 3.27-3.44, 7 Pb 3.49-3.57

No. 15
VASP calculation (PBE) on crystalline K4LaSb3O12 at its relaxed geometry.

Properties
As for the formation energy without anion corrections: -1.649 eV per atom. As for the density of states at the Fermi level: 8.78 states/eV per cell. Its crystal system is cubic. Its theoretical density is 4.718 Mg/m³.

Cell: 7.3047 7.3047 7.3047 Å, 109.47 109.47 109.47°
Closest atoms and distances in Å follow each position.
Element x y z (fractional)
K 0.5000 0.5000 0.5000  12 O 2.98-2.99
K 0.0000 0.0000 0.5000  12 O 2.98-2.99
K 0.5000 0.0000 0.0000  12 O 2.98-2.99
K 0.0000 0.5000 0.0000  12 O 2.98-2.99
La 0.0000 0.0000 0.0000  6 O 2.31
Sb 0.5000 0.0000 0.5000  6 O 1.91-2.11
Sb 0.5000 0.5000 0.0000  6 O 1.91-2.11
Sb 0.0000 0.5000 0.5000  6 O 1.91-2.11
O 0.2500 0.5000 0.7500  2 Sb 2.11
O 0.7262 0.0000 0.7262  1 Sb 1.91
O 0.2738 0.0000 0.2738  1 Sb 1.91
O 0.7500 0.5000 0.2500  2 Sb 2.11
O 0.7262 0.7262 0.0000  1 Sb 1.91
O 0.2738 0.2738 0.0000  1 Sb 1.91
O 0.7500 0.2500 0.5000  2 Sb 2.11
O 0.2500 0.7500 0.5000  2 Sb 2.11
O 0.5000 0.2500 0.7500  2 Sb 2.11
O 0.0000 0.7262 0.7262  1 Sb 1.91
O 0.5000 0.7500 0.2500  2 Sb 2.11
O 0.0000 0.2738 0.2738  1 Sb 1.91